(1)
DFT (GGA-PBE) results for an optimized crystal structure of Ca2ScSi.

```
Ca2ScSi
1.0
3.5442 0.0000 0.0000
0.0000 4.4915 0.0000
0.0000 0.0000 6.4967
Ca Sc Si
2 1 1
direct
0.0000 0.0000 0.2286
0.0000 0.0000 0.7714
0.5000 0.5000 0.5000
0.5000 0.5000 0.0000
```

Output
As for the electronic total energy: -3.9655 eV/atom.

(2)
DFT (GGA-PBE) results for an optimized crystal structure of CaScSi3.

```
CaScSi3
1.0
5.0411 0.0000 0.0000
0.0000 5.0411 0.0000
0.0000 0.0000 5.0411
Ca Sc Si
1 1 3
direct
0.0000 0.0000 0.0000
0.5000 0.5000 0.5000
0.0000 0.0000 0.5000
0.0000 0.5000 0.0000
0.5000 0.0000 0.0000
```

Output
The energy above the most stable polymorph in this dataset is 858.8 meV per atom. As for the electronic total energy: -3.8058 eV/atom.

(3)
DFT (GGA-PBE) results for an optimized crystal structure of Ca2ScSi.

```
Ca2ScSi
1.0
3.3806 0.0000 0.0000
0.0000 3.3806 0.0000
0.0000 0.0000 9.5188
Ca Sc Si
2 1 1
direct
0.0000 0.0000 0.2000
0.0000 0.0000 0.8000
0.5000 0.5000 0.5000
0.5000 0.5000 0.0000
```

Output
As for the electronic total energy: -3.9775 eV/atom.

(4)
DFT (GGA-PBE) results for an optimized crystal structure of CaScSi3.

```
CaScSi3
1.0
4.9818 0.0000 0.0000
0.0000 4.9818 0.0000
0.0000 0.0000 4.9818
Ca Sc Si
1 1 3
direct
0.0000 0.0000 0.0000
0.5000 0.5000 0.5000
0.0000 0.5000 0.5000
0.5000 0.0000 0.5000
0.5000 0.5000 0.0000
```

Output
The energy above the most stable polymorph in this dataset is 0.0 meV per atom. As for the electronic total energy: -4.6645 eV/atom.

| no. | magnetization (μB per cell) | raw formation energy (eV/atom) |
| --- | --- | --- |
| 1 | 0.00 | -0.03 |
| 2 | 0.00 | 1.11 |
| 3 | 0.15 | -0.04 |
| 4 | 0.00 | 0.26 |